No. 1
Th2SiTe | GGA-PBE | relaxed

SG: R-3m
Electronic total energy (eV/atom): -6.827
Density (g/cm³): 8.6

Cell and atoms, written as POSCAR:
```
Th2SiTe
1.0
3.7472 -2.1634 0.0000
3.7472 2.1634 0.0000
-2.4988 0.0000 7.3451
Th Te Si
2 1 1
Direct
0.2369 0.2369 0.2111
0.7631 0.7631 0.7889
0.0000 0.0000 0.5000
0.5000 0.5000 0.0000
```

=====

No. 2
Tm3SiTe2 | GGA-PBE | relaxed

SG: C2/c
Electronic total energy (eV/atom): -5.331
Density (g/cm³): 8.1

Cell and atoms, written as POSCAR:
```
Tm3SiTe2
1.0
-4.6605 4.9570 2.7484
4.0237 -4.0526 4.6078
5.1670 4.4463 -2.5877
Tm Si Te
6 2 4
Direct
0.0000 0.5000 0.0000
0.5000 0.0000 0.5000
0.3610 0.2171 0.0072
0.2171 0.3610 0.5072
0.6390 0.7829 0.9928
0.7829 0.6390 0.4928
0.4086 0.5914 0.2500
0.5914 0.4086 0.7500
0.2393 0.7607 0.7500
0.0802 0.9198 0.2500
0.9198 0.0802 0.7500
0.7607 0.2393 0.2500
```

=====

- Look up the electronic total energy of the second one.
  -5.331 eV/atom

=====

- Which value of density does entry 1 give?
  8.6 g/cm³